Entry from Alexandria via LeMat-Bulk: a geometry-optimized Cd6Co5O15 structure (GGA-PBEsol).

abc: 6.638 6.639 6.638
angles: 87.26 87.27 87.27
Each line ends with the local moment (μB).
Fractional coordinates of all 26 atoms:
Cd (0.132, 0.806, 0.490)  0.00
Cd (0.306, 0.656, 0.973)  0.00
Cd (0.973, 0.306, 0.656)  0.00
Cd (0.490, 0.132, 0.806)  0.00
Cd (0.806, 0.490, 0.132)  0.00
Cd (0.656, 0.973, 0.306)  0.00
Co (0.504, 0.504, 0.504)  0.59
Co (0.307, 0.307, 0.307)  0.60
Co (0.111, 0.111, 0.111)  0.57
Co (0.704, 0.704, 0.704)  0.48
Co (0.908, 0.908, 0.908)  0.46
O (0.974, 0.881, 0.184)  0.03
O (0.321, 0.585, 0.304)  0.02
O (0.427, 0.723, 0.659)  0.02
O (0.774, 0.976, 0.662)  0.01
O (0.028, 0.291, 0.315)  0.02
O (0.291, 0.314, 0.028)  0.02
O (0.662, 0.774, 0.976)  0.01
O (0.304, 0.321, 0.585)  0.02
O (0.723, 0.659, 0.427)  0.02
O (0.184, 0.974, 0.881)  0.03
O (0.586, 0.304, 0.321)  0.02
O (0.659, 0.427, 0.723)  0.02
O (0.314, 0.028, 0.291)  0.02
O (0.976, 0.662, 0.774)  0.01
O (0.881, 0.184, 0.974)  0.03

Values from the calculation:
Uncorrected energy: -5.731 eV per atom
E_form (uncorrected): -0.94 eV/atom
SG: No. 146